This record from Alexandria via LeMat-Bulk describes a relaxed KRb2Sn3O8 crystal. The functional is PBE.

crystal system	trigonal
E_form (uncorrected)	-1.482	eV per atom
space group	No. 160

abc: 6.541 6.541 7.730
angles: 64.97 64.97 60.00
Each line ends with the local moment (μB).
Positions (direct):
1 K 0.874 0.874 0.377  0.00
2 Rb 0.132 0.132 0.605  0.00
3 Rb 0.499 0.499 0.503  0.00
4 Sn 0.499 0.998 0.004  -0.01
5 Sn 0.998 0.499 0.004  -0.01
6 Sn 0.499 0.499 0.004  -0.01
7 O 0.275 0.275 0.176  0.00
8 O 0.724 0.724 0.828  -0.01
9 O 0.238 0.238 0.843  0.15
10 O 0.680 0.238 0.843  0.15
11 O 0.238 0.680 0.843  0.15
12 O 0.760 0.316 0.164  0.13
13 O 0.316 0.760 0.164  0.13
14 O 0.760 0.760 0.164  0.13

***

This record from Alexandria via LeMat-Bulk describes a relaxed Cr2NiIr crystal. The functional is PBE.

calculated formation energy	-0.01	eV per atom
crystal system	monoclinic
space group	No. 8

abc: 4.433 4.433 4.522
angles: 79.60 79.60 34.43
Positions (direct):
1 Cr 0.002 0.002 0.018
2 Cr 0.748 0.748 0.744
3 Ir 0.497 0.497 0.510
4 Ni 0.254 0.254 0.228

***

This record from Alexandria via LeMat-Bulk describes a relaxed U2InSb crystal. The functional is PBE.

crystal system	tetragonal
E_form (uncorrected)	0.078	eV per atom
space group	No. 123

abc: 4.762 4.570 4.570
angles: 90.00 90.00 90.00
Each line ends with the local moment (μB).
Positions (direct):
1 Sb 0.500 0.500 0.500  -0.05
2 U 0.000 0.000 0.500  2.85
3 U 0.000 0.500 0.000  2.85
4 In 0.500 0.000 0.000  -0.02

***

This record from Alexandria via LeMat-Bulk describes a relaxed LiTaW3 crystal. The functional is PBE.

calculated formation energy	1.31	eV per atom
E above lowest polymorph	0.0	kJ per mole of atoms
crystal system	cubic
space group	No. 221

abc: 4.289 4.289 4.289
angles: 90.00 90.00 90.00
Positions (direct):
1 Li 0.000 0.000 0.000
2 W 0.000 0.500 0.000
3 W 0.000 0.000 0.500
4 W 0.500 0.000 0.000
5 Ta 0.500 0.500 0.500

***

This record from Alexandria via LeMat-Bulk describes a relaxed Al2PSe crystal. The functional is PBE.

E above lowest polymorph	40.3	kJ per mole of atoms
crystal system	monoclinic
E_form (uncorrected)	-0.056	eV per atom
space group	No. 12

abc: 5.154 5.154 3.737
angles: 65.68 65.68 85.13
Positions (direct):
1 P 0.500 0.000 0.500
2 Al 0.000 0.000 0.000
3 Al 0.500 0.500 0.000
4 Se 0.000 0.500 0.500

***

This record from Alexandria via LeMat-Bulk describes a relaxed EuCuPd crystal. The functional is PBE.

calculated formation energy	-0.41	eV per atom
E above lowest polymorph	0.0	kJ per mole of atoms
crystal system	hexagonal
space group	No. 187

abc: 3.948 4.369 4.369
angles: 120.00 90.00 90.00
Each line ends with the local moment (μB).
Positions (direct):
1 Eu 0.667 0.333 0.667  6.76
2 Cu 0.167 0.667 0.333  0.00
3 Pd 0.167 0.000 0.000  -0.02

***

Number 1: total magnetic moment 1.0 Bohr magnetons per cell, D(E_F) 5.79 states/eV per cell. Number 2: total magnetic moment 0.0 Bohr magnetons per cell, D(E_F) 4.93 states/eV per cell. Number 3: total magnetic moment 6.4 Bohr magnetons per cell, D(E_F) 9.43 states/eV per cell. Number 4: total magnetic moment 0.0 Bohr magnetons per cell, D(E_F) 5.59 states/eV per cell. Number 5: total magnetic moment 0.0 Bohr magnetons per cell, D(E_F) 1.15 states/eV per cell. Number 6: total magnetic moment 7.0 Bohr magnetons per cell, D(E_F) 13.52 states/eV per cell.